{
  "formula": "ZrHgRhAu",
  "functional": "PBE",
  "state": "optimized geometry",
  "cell": [[0.000, 3.336, 3.336], [3.336, 0.000, 3.336], [3.336, 3.336, 0.000]],
  "species": ["Zr", "Hg", "Rh", "Au"],
  "frac_coords": [[0.000, 0.000, 0.000], [0.500, 0.500, 0.500], [0.250, 0.250, 0.250], [0.750, 0.750, 0.750]],
  "spacegroup": "F-43m, No. 216",
  "volume_a3_per_atom": 18.568,
  "crystal_system": "cubic",
  "formation_enthalpy_0k_ev_per_atom": -0.325,
  "total_energy_ev_per_cell": -20.780,
  "m_tot_mub_per_fu": 0.000
}